VASP calculation (PBE) on Ca2ZnP after structural relaxation.

Unit cell a=5.069 b=5.069 c=5.069 alpha=60.00 beta=60.00 gamma=60.00
Positions (direct):
P  0.000  0.000  0.000
Zn  0.500  0.500  0.500
Ca  0.250  0.250  0.250
Ca  0.750  0.750  0.750

Calculated values
- Space-group type: Fm-3m
- Total magnetization: 0.0 μB per formula unit
- ΔH_f (0 K): -0.53 eV per atom
- VASP energy: -0.118 Ha/atom
- Excess energy over the best structure of this formula in the dataset: 189 meV/atom